No. 1
First-principles (PBE) data for an optimized crystal structure of ReAg2Pb, as listed in Alexandria.

For the total energy, the calculation gives -4.74 eV per atom.

The structure belongs to space group P4mm (No. 99); the cell edges are 2.9619, 2.9619 and 9.0601 Å and the angles 90.00°, 90.00° and 90.00°. The distinct sites, in fractional coordinates, are Re at (0.0000, 0.0000, 0.0000), Ag at (0.0000, 0.0000, 0.4440), Ag at (0.5000, 0.5000, 0.2182) and Pb at (0.5000, 0.5000, 0.7544).

No. 2
First-principles (PBE) data for an optimized crystal structure of Tm2SO2, as listed in Alexandria.

As for the uncorrected formation energy: -3249 meV per atom.

The structure belongs to space group P-3m1 (No. 164); the cell edges are 3.7419, 3.7419 and 6.5292 Å and the angles 90.00°, 90.00° and 120.00°. The distinct sites, in fractional coordinates, are Tm at (0.3333, 0.6667, 0.2833), S at (0.0000, 0.0000, 0.0000) and O at (0.3333, 0.6667, 0.6295).

No. 3
First-principles (PBE) data for an optimized crystal structure of BaZr2In, as listed in Alexandria.

For the total energy, the calculation gives -5.13 eV per atom.

The structure belongs to space group I-4m2 (No. 119); the cell edges are 4.7617, 4.7617 and 9.5510 Å and the angles 90.00°, 90.00° and 90.00°. The distinct sites, in fractional coordinates, are Ba at (0.0000, 0.0000, 0.0000), Zr at (0.0000, 0.0000, 0.5000), Zr at (0.0000, 0.5000, 0.2500) and In at (0.0000, 0.5000, 0.7500).

No. 4
First-principles (PBE) data for an optimized crystal structure of Nd2TmScSb4, as listed in Alexandria.

As for the uncorrected formation energy: -1080 meV per atom.

The structure belongs to space group P2/m (No. 10); the cell edges are 7.5874, 4.4005 and 7.6167 Å and the angles 90.00°, 109.56° and 90.00°. The distinct sites, in fractional coordinates, are Nd at (0.0000, 0.0000, 0.0000), Nd at (0.0000, 0.5000, 0.5000), Tm at (0.5000, 0.0000, 0.5000), Sc at (0.5000, 0.5000, 0.0000), Sb at (0.2663, 0.5000, 0.2505) and Sb at (0.2700, 0.0000, 0.7616).

No. 5
First-principles (PBE) data for an optimized crystal structure of Ac2SmCd3, as listed in Alexandria.

For the total energy, the calculation gives -2.90 eV per atom.

The structure belongs to space group P4/mmm (No. 123); the cell edges are 3.9733, 3.9733 and 12.0650 Å and the angles 90.00°, 90.00° and 90.00°. The distinct sites, in fractional coordinates, are Ac at (0.0000, 0.0000, 0.1761), Sm at (0.0000, 0.0000, 0.5000), Cd at (0.5000, 0.5000, 0.0000) and Cd at (0.5000, 0.5000, 0.3559).

No. 6
First-principles (PBE) data for an optimized crystal structure of Tl2O2F, as listed in Alexandria.

As for the uncorrected formation energy: -836 meV per atom.

The structure belongs to space group C2/m (No. 12); the cell edges are 5.8168, 6.0195 and 5.2708 Å and the angles 90.00°, 95.07° and 90.00°. The distinct sites, in fractional coordinates, are Tl at (0.2424, 0.0000, 0.3135), O at (0.0000, 0.2423, 0.5000) and F at (0.0000, 0.5000, 0.0000).

| no. | volume (Å³/cell) |
| --- | --- |
| 1 | 79.5 |
| 2 | 79.2 |
| 3 | 216.6 |
| 4 | 239.6 |
| 5 | 190.5 |
| 6 | 183.8 |